TbPr2Ga3 | GGA-PBE | optimized geometry

Lattice parameters (Å, degrees): 10.881 10.881 6.301 90.00 90.00 154.72
Element x y z (fractional)
Tb1 0.175 0.825 0.750
Tb2 0.825 0.175 0.250
Pr1 0.353 0.647 0.750
Pr2 0.465 0.535 0.250
Pr3 0.535 0.465 0.750
Pr4 0.647 0.353 0.250
Ga1 0.062 0.938 0.048
Ga2 0.062 0.938 0.452
Ga3 0.244 0.756 0.250
Ga4 0.756 0.244 0.750
Ga5 0.938 0.062 0.548
Ga6 0.938 0.062 0.952

Values from the calculation:
V: 26.55 Å³ per atom
ΔH_f (0 K): -272 kJ/mol of formula units
crystal system: orthorhombic
E above lowest polymorph: 0.082 eV/atom
space group: Cmcm